3
Lattice="4.825 0.000 0.000 -2.412 4.178 0.000 0.000 0.000 3.035" Properties=species:S:1:pos:R:3 comment="PuPdAu, optimized geometry, DFT PBE-GGA" dft_energy_ha_per_atom=-0.2956 de_polymorph_mev_per_atom=8 delta_e_f_ev_per_atom=-0.44 m_tot_mub_per_fu=5.7 pbc="T T T"
Pu 0.000 0.000 0.000
Pd 0.000 2.785 1.517
Au 2.412 1.393 1.517

12
Lattice="3.509 0.000 0.000 -1.754 3.039 0.000 0.000 0.000 26.064" Properties=species:S:1:pos:R:3 comment="Tm2PtS, optimized geometry, DFT PBE-GGA" dft_energy_ha_per_atom=-0.2027 formation_energy_uncorrected_ev_per_atom=-0.739 de_polymorph_mev_per_atom=885 m_tot_mub_per_fu=0.0 pbc="T T T"
Tm 0.000 0.000 2.615
Tm 0.000 0.000 23.449
Tm 0.000 2.026 14.761
Tm 0.000 2.026 19.991
Tm 1.754 1.013 6.073
Tm 1.754 1.013 11.303
Pt 0.000 0.000 0.000
Pt 0.000 2.026 17.376
Pt 1.754 1.013 8.688
S 0.000 0.000 13.032
S 0.000 2.026 4.344
S 1.754 1.013 21.720

10
Lattice="2.996 -5.261 0.000 2.996 5.261 0.000 0.000 0.000 5.907" Properties=species:S:1:pos:R:3 comment="AcBePt3, optimized geometry, DFT PBE-GGA" dft_energy_ha_per_atom=-0.2237 de_polymorph_mev_per_atom=0 delta_e_f_ev_per_atom=-0.90 m_tot_mub_per_fu=0.0 pbc="T T T"
Ac 2.996 2.671 4.430
Ac 2.996 -2.671 1.477
Be 2.996 4.258 1.477
Be 2.996 -4.258 4.430
Pt 1.523 0.000 0.000
Pt 1.523 0.000 2.953
Pt 2.996 1.954 1.477
Pt 2.996 -1.954 4.430
Pt 4.470 0.000 0.000
Pt 4.470 0.000 2.953